(1)
A relaxed structure of Ce8CoRh5, computed with GGA-PBE.

Computed properties:
The energy of formation from the pure elements is -0.577 eV per atom. Its spin magnetization is 2.900 μB/f.u. For the total energy, the calculation gives -7.1006 eV per atom. For the density of states at the Fermi level, the calculation gives 2.2278 states/eV/atom.

The structure in POSCAR format:
```
Ce8CoRh5
1.0
7.064 0.000 -2.413
-3.532 6.071 -2.526
0.000 0.000 7.464
Ce Co Rh
8 1 5
Direct
0.128 0.741 0.984
0.016 0.144 0.757
0.744 0.252 0.378
0.622 0.366 0.875
0.509 0.634 0.256
0.613 0.856 0.872
0.243 0.259 0.387
0.125 0.748 0.491
0.250 0.500 0.750
0.994 0.368 0.121
0.879 0.873 0.247
0.753 0.632 0.626
0.500 0.000 0.500
0.374 0.127 0.006
```

***

(2)
A relaxed structure of InSi2Se, computed with GGA-PBE.

Computed properties:
Its spin magnetization is 0.000 μB/f.u. The calculation puts the uncorrected formation energy at 187 kJ/mol of formula units. For the total energy, the calculation gives -3.7829 eV per atom. For the density of states at the Fermi level, the calculation gives 0.2939 states/eV/atom.

The structure in POSCAR format:
```
InSi2Se
1.0
-0.232 -4.219 -2.464
3.531 -1.849 2.835
-2.302 -1.121 2.137
In Se Si
1 1 2
Direct
0.500 0.000 0.500
0.000 0.500 0.500
0.000 0.000 0.000
0.500 0.500 0.000
```

***

(3)
A relaxed structure of AcTmGaPd, computed with GGA-PBE.

Computed properties:
The energy of formation from the pure elements is -0.563 eV per atom. Its spin magnetization is 0.000 μB/f.u. For the total energy, the calculation gives -4.7634 eV per atom. For the density of states at the Fermi level, the calculation gives 1.0129 states/eV/atom.

The structure in POSCAR format:
```
AcTmGaPd
1.0
5.236 0.000 0.000
2.618 4.534 0.000
2.618 1.511 4.275
Ac Tm Ga Pd
1 1 1 1
Direct
0.000 0.000 0.000
0.500 0.500 0.500
0.750 0.750 0.750
0.250 0.250 0.250
```

***

(4)
A relaxed structure of ErAsSe, computed with GGA-PBE.

Computed properties:
Its spin magnetization is 0.000 μB/f.u. The calculation puts the uncorrected formation energy at -406 kJ/mol of formula units. For the total energy, the calculation gives -5.6355 eV per atom. For the density of states at the Fermi level, the calculation gives 0.4908 states/eV/atom.

The structure in POSCAR format:
```
ErAsSe
1.0
-3.640 1.353 -0.137
-0.859 -2.589 -2.767
-2.368 -5.750 6.116
As Se Er
2 2 2
Direct
0.750 0.250 0.000
0.250 0.750 0.000
0.750 0.750 0.376
0.250 0.250 0.624
0.750 0.750 0.723
0.250 0.250 0.277
```

***

(5)
A relaxed structure of MnTeBr3, computed with GGA-PBE.

Computed properties:
Its spin magnetization is 5.824 μB/f.u. The calculation puts the uncorrected formation energy at 142 kJ/mol of formula units. For the total energy, the calculation gives -3.1719 eV per atom. For the density of states at the Fermi level, the calculation gives 0.8926 states/eV/atom. The energy above the most stable polymorph in this dataset is 0.0000 eV per atom.

The structure in POSCAR format:
```
MnTeBr3
1.0
-3.104 -2.925 -3.843
4.287 -3.772 -0.592
-2.223 -3.190 4.223
Mn Te Br
1 1 3
Direct
0.500 0.500 0.500
0.000 0.000 0.000
0.000 0.500 0.000
0.000 0.000 0.500
0.500 0.000 0.000
```

***

(6)
A relaxed structure of Cs2LaS2Br2, computed with GGA-PBE.

Computed properties:
Its spin magnetization is 0.111 μB/f.u. The calculation puts the uncorrected formation energy at -1075 kJ/mol of formula units. For the total energy, the calculation gives -4.1970 eV per atom. For the density of states at the Fermi level, the calculation gives 1.3338 states/eV/atom.

The structure in POSCAR format:
```
Cs2LaS2Br2
1.0
5.533 0.000 0.000
0.000 5.533 0.000
-2.767 -2.767 9.428
Cs La S Br
2 1 2 2
Direct
0.358 0.358 0.716
0.642 0.642 0.284
0.000 0.000 0.000
0.000 0.500 0.000
0.500 0.000 0.000
0.162 0.162 0.323
0.838 0.838 0.677
```

***

- Look up the spin magnetization of the sixth one.
  0.111 μB/f.u.

***

- Look up the spin magnetization of the second one.
  0.000 μB/f.u.